First-principles (PBE) data for a relaxed structure of LuScTe, as listed in OQMD via LeMat-Bulk.

Energy in eV/atom: -5.00
Space-group type: No. 216

Unit cell a=4.863 b=4.863 c=4.863 alpha=60.00 beta=60.00 gamma=60.00
Each line ends with the local moment (μB).
Positions (direct):
Lu: 0.250 0.250 0.250  0.34
Te: 0.500 0.500 0.500  0.00
Sc: 0.750 0.750 0.750  0.48

***

First-principles (PBE) data for a relaxed structure of LuScTe2, as listed in OQMD via LeMat-Bulk.

Energy in eV/atom: -4.52
Space-group type: No. 216

Unit cell a=5.272 b=5.272 c=5.272 alpha=60.00 beta=60.00 gamma=60.00
Positions (direct):
Te: 0.500 0.500 0.500
Te: 0.750 0.750 0.750
Sc: 0.000 0.000 0.000
Lu: 0.250 0.250 0.250